Entry 1:
# HfUBe, optimized geometry, DFT PBE
# Formation enthalpy at 0 K   0.169 eV/atom
# DFT total energy   -8.15 eV/atom
# Total moment   0.00 μB/f.u.
data_HfUBe
_chemical_formula_sum 'Hf4 U4 Be4'
_space_group_name_H-M_alt 'C m c m'
_space_group_IT_number 63
_space_group_name_Hall '-C 2c 2'
_cell_length_a 3.6192
_cell_length_b 15.1213
_cell_length_c 3.7786
_cell_angle_alpha 90.00
_cell_angle_beta 90.00
_cell_angle_gamma 90.00
loop_
_atom_site_label
_atom_site_type_symbol
_atom_site_fract_x
_atom_site_fract_y
_atom_site_fract_z
_atom_site_occupancy
Hf1 Hf 0.0000 0.0778 0.2500 1
U1 U 0.0000 0.2285 0.7500 1
Be1 Be 0.0000 0.4466 0.2500 1

Entry 2:
# ZnTeAu2, optimized geometry, DFT PBE
# DFT total energy   -2.65 eV/atom
# Total moment   0.00 μB/f.u.
# Energy relative to the elements, uncorrected   0.09 eV/atom
data_ZnTeAu2
_chemical_formula_sum 'Zn3 Te3 Au6'
_space_group_name_H-M_alt 'R -3 m'
_space_group_IT_number 166
_space_group_name_Hall '-R 3 2"'
_cell_length_a 3.1207
_cell_length_b 3.1207
_cell_length_c 29.0914
_cell_angle_alpha 90.00
_cell_angle_beta 90.00
_cell_angle_gamma 120.00
loop_
_atom_site_label
_atom_site_type_symbol
_atom_site_fract_x
_atom_site_fract_y
_atom_site_fract_z
_atom_site_occupancy
Zn1 Zn 0.0000 0.0000 0.0000 1
Te1 Te 0.0000 0.0000 0.5000 1
Au1 Au 0.0000 0.0000 0.2652 1

Entry 3:
# CsAlAs2Br, optimized geometry, DFT PBE
# DFT total energy   -2.00 eV/atom
# Total moment   2.64 μB/f.u.
# Energy relative to the elements, uncorrected   1.11 eV/atom
data_CsAlAs2Br
_chemical_formula_sum 'Cs1 Al1 As2 Br1'
_space_group_name_H-M_alt 'P 4/m m m'
_space_group_IT_number 123
_space_group_name_Hall '-P 4 2'
_cell_length_a 6.1007
_cell_length_b 6.1007
_cell_length_c 6.5646
_cell_angle_alpha 90.00
_cell_angle_beta 90.00
_cell_angle_gamma 90.00
loop_
_atom_site_label
_atom_site_type_symbol
_atom_site_fract_x
_atom_site_fract_y
_atom_site_fract_z
_atom_site_occupancy
Cs1 Cs 0.0000 0.0000 0.0000 1
Al1 Al 0.5000 0.5000 0.5000 1
As1 As 0.0000 0.5000 0.0000 1
Br1 Br 0.0000 0.0000 0.5000 1

Entry 4:
# NdYZnNi, optimized geometry, DFT PBE
# Formation enthalpy at 0 K   -0.311 eV/atom
# DFT total energy   -4.88 eV/atom
# Total moment   0.00 μB/f.u.
data_NdYZnNi
_chemical_formula_sum 'Nd2 Y2 Zn2 Ni2'
_space_group_name_H-M_alt 'A m m 2'
_space_group_IT_number 38
_space_group_name_Hall 'A 2 -2'
_cell_length_a 4.4524
_cell_length_b 3.9018
_cell_length_c 10.6025
_cell_angle_alpha 90.00
_cell_angle_beta 90.00
_cell_angle_gamma 90.00
loop_
_atom_site_label
_atom_site_type_symbol
_atom_site_fract_x
_atom_site_fract_y
_atom_site_fract_z
_atom_site_occupancy
Nd1 Nd 0.0000 0.0000 0.0000 1
Y1 Y 0.5000 0.0000 0.2829 1
Zn1 Zn 0.5000 0.0000 0.5763 1
Ni1 Ni 0.0000 0.0000 0.7070 1

Entry 5:
# In4Pb3Au4, optimized geometry, DFT PBE
# Formation enthalpy at 0 K   -0.130 eV/atom
# DFT total energy   -3.33 eV/atom
# Total moment   0.00 μB/f.u.
data_In4Pb3Au4
_chemical_formula_sum 'In8 Pb6 Au8'
_space_group_name_H-M_alt 'I m m m'
_space_group_IT_number 71
_space_group_name_Hall '-I 2 2'
_cell_length_a 4.1966
_cell_length_b 8.2637
_cell_length_c 15.7667
_cell_angle_alpha 90.00
_cell_angle_beta 90.00
_cell_angle_gamma 90.00
loop_
_atom_site_label
_atom_site_type_symbol
_atom_site_fract_x
_atom_site_fract_y
_atom_site_fract_z
_atom_site_occupancy
In1 In 0.0000 0.1996 0.1698 1
Pb1 Pb 0.0000 0.0000 0.3939 1
Pb2 Pb 0.0000 0.5000 0.5000 1
Au1 Au 0.0000 0.2911 0.0000 1
Au2 Au 0.0000 0.5000 0.2689 1

Entry 6:
# Hf2HRu, optimized geometry, DFT PBE
# DFT total energy   -8.37 eV/atom
# Total moment   0.00 μB/f.u.
data_Hf2HRu
_chemical_formula_sum 'Hf8 H4 Ru4'
_space_group_name_H-M_alt 'I -4 2 d'
_space_group_IT_number 122
_space_group_name_Hall 'I -4 2bw'
_cell_length_a 6.1303
_cell_length_b 6.1303
_cell_length_c 6.5456
_cell_angle_alpha 90.00
_cell_angle_beta 90.00
_cell_angle_gamma 90.00
loop_
_atom_site_label
_atom_site_type_symbol
_atom_site_fract_x
_atom_site_fract_y
_atom_site_fract_z
_atom_site_occupancy
Hf1 Hf 0.1793 0.2500 0.1250 1
H1 H 0.0000 0.0000 0.0000 1
Ru1 Ru 0.0000 0.0000 0.5000 1

Entry 7:
# CaCr2Ru, optimized geometry, DFT PBE
# Formation enthalpy at 0 K   0.650 eV/atom
# DFT total energy   -6.98 eV/atom
# Total moment   0.01 μB/f.u.
data_CaCr2Ru
_chemical_formula_sum 'Ca3 Cr6 Ru3'
_space_group_name_H-M_alt 'R 3 m'
_space_group_IT_number 160
_space_group_name_Hall 'R 3 -2"'
_cell_length_a 2.9059
_cell_length_b 2.9059
_cell_length_c 26.0265
_cell_angle_alpha 90.00
_cell_angle_beta 90.00
_cell_angle_gamma 120.00
loop_
_atom_site_label
_atom_site_type_symbol
_atom_site_fract_x
_atom_site_fract_y
_atom_site_fract_z
_atom_site_occupancy
Ca1 Ca 0.0000 0.0000 0.0000 1
Cr1 Cr 0.0000 0.0000 0.4964 1
Cr2 Cr 0.0000 0.0000 0.7692 1
Ru1 Ru 0.0000 0.0000 0.2377 1

Entry 8:
# Tb5Ho4Sc, optimized geometry, DFT PBE
# Formation enthalpy at 0 K   0.111 eV/atom
# DFT total energy   -4.67 eV/atom
# Total moment   0.00 μB/f.u.
data_Tb5Ho4Sc
_chemical_formula_sum 'Tb10 Ho8 Sc2'
_space_group_name_H-M_alt 'C 1 2/m 1'
_space_group_IT_number 12
_space_group_name_Hall '-C 2y'
_cell_length_a 17.4425
_cell_length_b 3.4520
_cell_length_c 10.8478
_cell_angle_alpha 90.00
_cell_angle_beta 106.99
_cell_angle_gamma 90.00
loop_
_atom_site_label
_atom_site_type_symbol
_atom_site_fract_x
_atom_site_fract_y
_atom_site_fract_z
_atom_site_occupancy
Tb1 Tb 0.0000 0.0000 0.0000 1
Tb2 Tb 0.1055 0.5000 0.7853 1
Tb3 Tb 0.2068 0.5000 0.0996 1
Ho1 Ho 0.0923 0.5000 0.3106 1
Ho2 Ho 0.1961 0.0000 0.5819 1
Sc1 Sc 0.0000 0.0000 0.5000 1

Entry 9:
# Ba2Sn2Br, optimized geometry, DFT PBE
# DFT total energy   -3.56 eV/atom
# Total moment   0.00 μB/f.u.
# Energy relative to the elements, uncorrected   -0.85 eV/atom
data_Ba2Sn2Br
_chemical_formula_sum 'Ba4 Sn4 Br2'
_space_group_name_H-M_alt 'I 4/m m m'
_space_group_IT_number 139
_space_group_name_Hall '-I 4 2'
_cell_length_a 4.4473
_cell_length_b 4.4473
_cell_length_c 19.1730
_cell_angle_alpha 90.00
_cell_angle_beta 90.00
_cell_angle_gamma 90.00
loop_
_atom_site_label
_atom_site_type_symbol
_atom_site_fract_x
_atom_site_fract_y
_atom_site_fract_z
_atom_site_occupancy
Ba1 Ba 0.0000 0.0000 0.1081 1
Sn1 Sn 0.0000 0.5000 0.2500 1
Br1 Br 0.0000 0.0000 0.5000 1

Entry 10:
# ZnCd2Pd, optimized geometry, DFT PBE
# Formation enthalpy at 0 K   -0.210 eV/atom
# DFT total energy   -2.28 eV/atom
# Total moment   0.00 μB/f.u.
data_ZnCd2Pd
_chemical_formula_sum 'Zn1 Cd2 Pd1'
_space_group_name_H-M_alt 'P 4/m m m'
_space_group_IT_number 123
_space_group_name_Hall '-P 4 2'
_cell_length_a 4.1594
_cell_length_b 4.1594
_cell_length_c 4.0874
_cell_angle_alpha 90.00
_cell_angle_beta 90.00
_cell_angle_gamma 90.00
loop_
_atom_site_label
_atom_site_type_symbol
_atom_site_fract_x
_atom_site_fract_y
_atom_site_fract_z
_atom_site_occupancy
Zn1 Zn 0.0000 0.0000 0.0000 1
Cd1 Cd 0.0000 0.5000 0.5000 1
Pd1 Pd 0.5000 0.5000 0.0000 1

Entry 11:
# Re3HgPd, optimized geometry, DFT PBE
# Formation enthalpy at 0 K   2.603 eV/atom
# DFT total energy   -5.96 eV/atom
# Total moment   1.46 μB/f.u.
data_Re3HgPd
_chemical_formula_sum 'Re3 Hg1 Pd1'
_space_group_name_H-M_alt 'P m -3 m'
_space_group_IT_number 221
_space_group_name_Hall '-P 4 2 3'
_cell_length_a 4.7259
_cell_length_b 4.7259
_cell_length_c 4.7259
_cell_angle_alpha 90.00
_cell_angle_beta 90.00
_cell_angle_gamma 90.00
loop_
_atom_site_label
_atom_site_type_symbol
_atom_site_fract_x
_atom_site_fract_y
_atom_site_fract_z
_atom_site_occupancy
Re1 Re 0.0000 0.0000 0.5000 1
Hg1 Hg 0.5000 0.5000 0.5000 1
Pd1 Pd 0.0000 0.0000 0.0000 1

Entry 12:
# Cd3W, optimized geometry, DFT PBE
# Formation enthalpy at 0 K   0.586 eV/atom
# DFT total energy   -3.34 eV/atom
# Total moment   0.00 μB/f.u.
data_Cd3W
_chemical_formula_sum 'Cd3 W1'
_space_group_name_H-M_alt 'P m -3 m'
_space_group_IT_number 221
_space_group_name_Hall '-P 4 2 3'
_cell_length_a 4.2414
_cell_length_b 4.2414
_cell_length_c 4.2414
_cell_angle_alpha 90.00
_cell_angle_beta 90.00
_cell_angle_gamma 90.00
loop_
_atom_site_label
_atom_site_type_symbol
_atom_site_fract_x
_atom_site_fract_y
_atom_site_fract_z
_atom_site_occupancy
Cd1 Cd 0.0000 0.0000 0.5000 1
W1 W 0.5000 0.5000 0.5000 1